Below is an optimized crystal structure of Hf3BiC, with properties calculated at the GGA-PBE level.

Lattice parameters (Å, degrees): 5.3331 5.3331 5.3331 90.00 90.00 90.00
Fractional coordinates of all 5 atoms:
Hf1 0.0000 0.0000 0.5000
Hf2 0.0000 0.5000 0.0000
Hf3 0.5000 0.0000 0.0000
Bi1 0.0000 0.0000 0.0000
C1 0.5000 0.5000 0.5000

Results
As for the space group: Pm-3m, No. 221. For the formation energy, the calculation gives 2.736 eV/atom. The magnetic moment is 0.93 Bohr magnetons per cell.